# CrSe3F

A relaxed CrSe3F crystal (GGA+U, Alexandria via LeMat-Bulk).

Results
total magnetic moment: 1.3 μB/f.u.
DOS at the Fermi energy: 1.6505 states/eV/atom
E above lowest polymorph: 567 meV per atom
calculated density: 5252 kg/m3

Lattice parameters (Å, degrees): 4.600 4.600 4.600 90.00 90.00 90.00
Space group Pm-3m (No. 221)
One atom of each set of equivalent atoms:
Cr 0.000 0.000 0.000 [1 per cell]
Se 0.000 0.500 0.500 [3 per cell]
F 0.500 0.500 0.500 [1 per cell]